This record from the Alexandria database describes crystalline Cs2KPSe4 at its relaxed geometry. The functional is PBE.

Values from the calculation:
- E_form (uncorrected): -0.789 eV/atom

a = 15.041 Å, b = 13.796 Å, c = 7.936 Å
α = 82.90°, β = 65.53°, γ = 31.57°
Atoms (fractional coordinates):
Cs 0.061 0.061 0.689
Cs 0.311 0.311 0.939
Cs 0.689 0.689 0.061
Cs 0.939 0.939 0.311
K 0.125 0.125 0.125
K 0.875 0.875 0.875
P 0.375 0.375 0.375
P 0.625 0.625 0.625
Se 0.066 0.584 0.493
Se 0.357 0.493 0.584
Se 0.416 0.934 0.643
Se 0.493 0.357 0.066
Se 0.507 0.643 0.934
Se 0.584 0.066 0.357
Se 0.643 0.507 0.416
Se 0.934 0.416 0.507